# V2Ga2F GGA+U optimized geometry
# magnetization: 5.5 μB per formula unit
# N(E_F): 0.432 states/eV per atom
# final energy: -4.115 eV per atom
data_V2Ga2F
_symmetry_space_group_name_H-M 'I 4/m m m'
_symmetry_Int_Tables_number 139
_symmetry_space_group_name_Hall '-I 4 2'
_cell_length_a 3.6812
_cell_length_b 3.6812
_cell_length_c 13.4806
_cell_angle_alpha 90.00
_cell_angle_beta 90.00
_cell_angle_gamma 90.00
loop_
_atom_site_label
_atom_site_type_symbol
_atom_site_fract_x
_atom_site_fract_y
_atom_site_fract_z
V1 V 0.0000 0.5000 0.2500
Ga1 Ga 0.0000 0.0000 0.0897
F1 F 0.0000 0.0000 0.5000